Record 1
Below is a relaxed CaB2C crystal, with properties calculated at the PBE-GGA level.

Cell and atoms, written as CIF:
```
data_CaB2C
_chemical_formula_sum 'Ca2 B4 C2'
_space_group_name_H-M_alt 'P 1'
_space_group_IT_number 1
_cell_length_a 6.491
_cell_length_b 6.491
_cell_length_c 6.491
_cell_angle_alpha 146.36
_cell_angle_beta 146.36
_cell_angle_gamma 48.31
loop_
_space_group_symop_operation_xyz
'x,y,z'
loop_
_atom_site_label
_atom_site_fract_x
_atom_site_fract_y
_atom_site_fract_z
_atom_site_occupancy
Ca1 0.375 0.625 0.750 1
Ca2 0.625 0.375 0.250 1
B1 0.000 0.000 0.000 1
B2 0.000 0.000 0.500 1
B3 0.000 0.500 0.000 1
B4 0.500 0.000 0.500 1
C1 0.125 0.875 0.250 1
C2 0.875 0.125 0.750 1
```

## Properties
DFT formation energy   188 kJ/mol of formula units
Space-group type   I4_1/amd, No. 141
Crystal system   tetragonal
Mass density   2.929 g/cm³
Total magnetic moment   0.0 μB per cell

---

Record 2
Below is a relaxed CaBC crystal, with properties calculated at the PBE-GGA level.

Cell and atoms, written as CIF:
```
data_CaBC
_chemical_formula_sum 'Ca1 B1 C1'
_space_group_name_H-M_alt 'P 1'
_space_group_IT_number 1
_cell_length_a 3.651
_cell_length_b 3.651
_cell_length_c 2.953
_cell_angle_alpha 90.00
_cell_angle_beta 90.00
_cell_angle_gamma 90.00
loop_
_space_group_symop_operation_xyz
'x,y,z'
loop_
_atom_site_label
_atom_site_fract_x
_atom_site_fract_y
_atom_site_fract_z
_atom_site_occupancy
Ca1 0.000 0.000 0.000 1
B1 0.500 0.500 0.500 1
C1 0.500 0.500 0.000 1
```

## Properties
DFT formation energy   -29 kJ/mol of formula units
Space-group type   P4/mmm, No. 123
Crystal system   tetragonal
Mass density   2.653 g/cm³
Total magnetic moment   0.0 μB per cell
Excess energy over the best structure of this formula in the dataset   58 meV per atom

---

Record 3
Below is a relaxed CaB12C3 crystal, with properties calculated at the PBE-GGA level.

Cell and atoms, written as CIF:
```
data_CaB12C3
_chemical_formula_sum 'Ca2 B24 C6'
_space_group_name_H-M_alt 'P 1'
_space_group_IT_number 1
_cell_length_a 7.059
_cell_length_b 7.059
_cell_length_c 7.059
_cell_angle_alpha 104.59
_cell_angle_beta 104.59
_cell_angle_gamma 104.59
loop_
_space_group_symop_operation_xyz
'x,y,z'
loop_
_atom_site_label
_atom_site_fract_x
_atom_site_fract_y
_atom_site_fract_z
_atom_site_occupancy
Ca1 0.000 0.000 0.000 1
Ca2 0.500 0.500 0.500 1
B1 0.015 0.137 0.692 1
B2 0.031 0.374 0.426 1
B3 0.075 0.765 0.653 1
B4 0.137 0.692 0.015 1
B5 0.153 0.265 0.575 1
B6 0.192 0.637 0.515 1
B7 0.228 0.791 0.308 1
B8 0.265 0.575 0.153 1
B9 0.291 0.728 0.808 1
B10 0.308 0.228 0.791 1
B11 0.374 0.426 0.031 1
B12 0.426 0.031 0.374 1
B13 0.515 0.192 0.637 1
B14 0.531 0.926 0.874 1
B15 0.575 0.153 0.265 1
B16 0.637 0.515 0.192 1
B17 0.653 0.075 0.765 1
B18 0.692 0.015 0.137 1
B19 0.728 0.808 0.291 1
B20 0.765 0.653 0.075 1
B21 0.791 0.308 0.228 1
B22 0.808 0.291 0.728 1
B23 0.874 0.531 0.926 1
B24 0.926 0.874 0.531 1
C1 0.091 0.793 0.448 1
C2 0.293 0.591 0.948 1
C3 0.448 0.091 0.793 1
C4 0.591 0.948 0.293 1
C5 0.793 0.448 0.091 1
C6 0.948 0.293 0.591 1
```

## Properties
DFT formation energy   889 kJ/mol of formula units
Space-group type   R3c, No. 161
Crystal system   trigonal
Mass density   2.204 g/cm³
Total magnetic moment   0.0 μB per cell

---

Record 4
Below is a relaxed CaBC crystal, with properties calculated at the PBE-GGA level.

Cell and atoms, written as CIF:
```
data_CaBC
_chemical_formula_sum 'Ca1 B1 C1'
_space_group_name_H-M_alt 'P 1'
_space_group_IT_number 1
_cell_length_a 3.530
_cell_length_b 3.964
_cell_length_c 3.964
_cell_angle_alpha 42.84
_cell_angle_beta 90.00
_cell_angle_gamma 90.00
loop_
_space_group_symop_operation_xyz
'x,y,z'
loop_
_atom_site_label
_atom_site_fract_x
_atom_site_fract_y
_atom_site_fract_z
_atom_site_occupancy
Ca1 0.000 0.000 0.000 1
B1 0.500 0.728 0.728 1
C1 0.500 0.279 0.279 1
```

## Properties
DFT formation energy   -26 kJ/mol of formula units
Space-group type   Amm2, No. 38
Crystal system   orthorhombic
Mass density   2.769 g/cm³
Total magnetic moment   0.0 μB per cell
Excess energy over the best structure of this formula in the dataset   66 meV per atom

---

Record 5
Below is a relaxed CaBC crystal, with properties calculated at the PBE-GGA level.

Cell and atoms, written as CIF:
```
data_CaBC
_chemical_formula_sum 'Ca2 B2 C2'
_space_group_name_H-M_alt 'P 1'
_space_group_IT_number 1
_cell_length_a 2.963
_cell_length_b 2.963
_cell_length_c 8.219
_cell_angle_alpha 90.00
_cell_angle_beta 90.00
_cell_angle_gamma 120.00
loop_
_space_group_symop_operation_xyz
'x,y,z'
loop_
_atom_site_label
_atom_site_fract_x
_atom_site_fract_y
_atom_site_fract_z
_atom_site_occupancy
Ca1 0.000 0.000 0.000 1
Ca2 0.000 0.000 0.500 1
B1 0.333 0.667 0.250 1
B2 0.667 0.333 0.750 1
C1 0.333 0.667 0.750 1
C2 0.667 0.333 0.250 1
```

## Properties
DFT formation energy   -21 kJ/mol of formula units
Space-group type   P6_3/mmc, No. 194
Crystal system   hexagonal
Mass density   3.342 g/cm³
Total magnetic moment   0.0 μB per cell
Excess energy over the best structure of this formula in the dataset   84 meV per atom

---

Record 6
Below is a relaxed CaBC3 crystal, with properties calculated at the PBE-GGA level.

Cell and atoms, written as CIF:
```
data_CaBC3
_chemical_formula_sum 'Ca1 B1 C3'
_space_group_name_H-M_alt 'P 1'
_space_group_IT_number 1
_cell_length_a 4.512
_cell_length_b 4.512
_cell_length_c 4.512
_cell_angle_alpha 90.00
_cell_angle_beta 90.00
_cell_angle_gamma 90.00
loop_
_space_group_symop_operation_xyz
'x,y,z'
loop_
_atom_site_label
_atom_site_fract_x
_atom_site_fract_y
_atom_site_fract_z
_atom_site_occupancy
Ca1 0.000 0.000 0.000 1
B1 0.500 0.500 0.500 1
C1 0.000 0.000 0.500 1
C2 0.000 0.500 0.000 1
C3 0.500 0.000 0.000 1
```

## Properties
DFT formation energy   2040 kJ/mol of formula units
Space-group type   Pm-3m, No. 221
Crystal system   cubic
Mass density   1.572 g/cm³
Total magnetic moment   0.7 μB per cell
Excess energy over the best structure of this formula in the dataset   2433 meV per atom